{
  "formula": "SrNi2",
  "functional": "PBE",
  "state": "optimized geometry",
  "lattice": [[3.4557, 0.0000, 0.0000], [0.0000, 3.4557, 0.0000], [0.0000, 0.0000, 4.9617]],
  "species": ["Sr", "Ni", "Ni"],
  "fractional_positions": [[0.0000, 0.0000, 0.0000], [0.0000, 0.5000, 0.5000], [0.5000, 0.0000, 0.5000]],
  "final_energy_ev_per_atom": -4.15,
  "mass_density_g_cm3": 5.745,
  "dos_ef_per_ev_fu": 3.90
}

=====

{
  "formula": "SrNi",
  "functional": "PBE",
  "state": "optimized geometry",
  "lattice": [[-2.0813, 4.0392, 3.6515], [2.0813, -4.0392, 3.6515], [2.0813, 4.0392, -3.6515]],
  "species": ["Sr", "Sr", "Ni", "Ni"],
  "fractional_positions": [[0.0000, 0.0000, 0.0000], [0.5000, 0.0000, 0.5000], [0.4425, 0.6925, 0.7500], [0.5575, 0.3075, 0.2500]],
  "final_energy_ev_per_atom": -3.70,
  "mass_density_g_cm3": 3.957,
  "dos_ef_per_ev_fu": 1.69
}

=====

{
  "formula": "SrNi3",
  "functional": "PBE",
  "state": "optimized geometry",
  "lattice": [[6.5261, 0.0000, 0.0000], [-3.2630, 5.6517, 0.0000], [0.0000, 0.0000, 4.0814]],
  "species": ["Sr", "Sr", "Ni", "Ni", "Ni", "Ni", "Ni", "Ni"],
  "fractional_positions": [[0.3333, 0.6667, 0.2500], [0.6667, 0.3333, 0.7500], [0.1211, 0.2421, 0.7500], [0.1211, 0.8789, 0.7500], [0.2421, 0.1211, 0.2500], [0.7579, 0.8789, 0.7500], [0.8789, 0.1211, 0.2500], [0.8789, 0.7579, 0.2500]],
  "final_energy_ev_per_atom": -4.58,
  "mass_density_g_cm3": 5.818,
  "dos_ef_per_ev_fu": 6.89
}

=====

{
  "formula": "SrNi",
  "functional": "PBE",
  "state": "optimized geometry",
  "lattice": [[-2.0594, 2.1141, 7.1058], [2.0594, -2.1141, 7.1058], [2.0594, 2.1141, -7.1058]],
  "species": ["Sr", "Sr", "Ni", "Ni"],
  "fractional_positions": [[0.3817, 0.1317, 0.2500], [0.6183, 0.8683, 0.7500], [0.0316, 0.2816, 0.7500], [0.9684, 0.7184, 0.2500]],
  "final_energy_ev_per_atom": -3.69,
  "mass_density_g_cm3": 3.927,
  "dos_ef_per_ev_fu": 1.26
}

=====

{
  "formula": "SrNi3",
  "functional": "PBE",
  "state": "optimized geometry",
  "lattice": [[3.0994, 0.0000, 0.0000], [0.0000, 3.0994, 0.0000], [0.0000, 0.0000, 6.7474]],
  "species": ["Sr", "Ni", "Ni", "Ni"],
  "fractional_positions": [[0.0000, 0.0000, 0.0000], [0.0000, 0.0000, 0.5000], [0.5000, 0.5000, 0.3248], [0.5000, 0.5000, 0.6752]],
  "final_energy_ev_per_atom": -4.43,
  "mass_density_g_cm3": 6.756,
  "dos_ef_per_ev_fu": 4.84
}

=====

{
  "formula": "SrNi4",
  "functional": "PBE",
  "state": "optimized geometry",
  "lattice": [[-2.8923, 2.8923, 2.8923], [2.8923, -2.8923, 2.8923], [2.8923, 2.8923, -2.8923]],
  "species": ["Sr", "Ni", "Ni", "Ni", "Ni"],
  "fractional_positions": [[0.0000, 0.0000, 0.0000], [0.0000, 0.0000, 0.5000], [0.0000, 0.5000, 0.0000], [0.5000, 0.0000, 0.0000], [0.5000, 0.5000, 0.5000]],
  "de_polymorph_mev_per_atom": 1479,
  "final_energy_ev_per_atom": -3.34,
  "mass_density_g_cm3": 5.532,
  "dos_ef_per_ev_fu": 10.20
}

=====

{
  "formula": "SrNi13",
  "functional": "PBE",
  "state": "optimized geometry",
  "lattice": [[0.0000, 5.6490, 5.6490], [5.6490, 0.0000, 5.6490], [5.6490, 5.6490, 0.0000]],
  "species": ["Sr", "Sr", "Ni", "Ni", "Ni", "Ni", "Ni", "Ni", "Ni", "Ni", "Ni", "Ni", "Ni", "Ni", "Ni", "Ni", "Ni", "Ni", "Ni", "Ni", "Ni", "Ni", "Ni", "Ni", "Ni", "Ni", "Ni", "Ni"],
  "fractional_positions": [[0.2500, 0.2500, 0.2500], [0.7500, 0.7500, 0.7500], [0.0000, 0.0000, 0.0000], [0.0644, 0.2948, 0.7052], [0.0644, 0.7052, 0.9356], [0.0644, 0.9356, 0.2948], [0.2052, 0.4356, 0.7948], [0.2052, 0.5644, 0.4356], [0.2052, 0.7948, 0.5644], [0.2948, 0.0644, 0.9356], [0.2948, 0.7052, 0.0644], [0.2948, 0.9356, 0.7052], [0.4356, 0.2052, 0.5644], [0.4356, 0.5644, 0.7948], [0.4356, 0.7948, 0.2052], [0.5000, 0.5000, 0.5000], [0.5644, 0.2052, 0.7948], [0.5644, 0.4356, 0.2052], [0.5644, 0.7948, 0.4356], [0.7052, 0.0644, 0.2948], [0.7052, 0.2948, 0.9356], [0.7052, 0.9356, 0.0644], [0.7948, 0.2052, 0.4356], [0.7948, 0.4356, 0.5644], [0.7948, 0.5644, 0.2052], [0.9356, 0.0644, 0.7052], [0.9356, 0.2948, 0.0644], [0.9356, 0.7052, 0.2948]],
  "final_energy_ev_per_atom": -5.49,
  "mass_density_g_cm3": 7.836,
  "dos_ef_per_ev_fu": 24.88
}

=====

{
  "formula": "SrNi3",
  "functional": "PBE",
  "state": "optimized geometry",
  "lattice": [[4.0750, 0.0000, 0.0000], [0.0000, 6.6066, 0.0000], [0.0000, 0.0000, 5.4980]],
  "species": ["Sr", "Sr", "Ni", "Ni", "Ni", "Ni", "Ni", "Ni"],
  "fractional_positions": [[0.2500, 0.2500, 0.1091], [0.7500, 0.7500, 0.8909], [0.2500, 0.0657, 0.5905], [0.2500, 0.4343, 0.5905], [0.2500, 0.7500, 0.3923], [0.7500, 0.2500, 0.6077], [0.7500, 0.5657, 0.4095], [0.7500, 0.9343, 0.4095]],
  "final_energy_ev_per_atom": -4.80,
  "mass_density_g_cm3": 5.917,
  "dos_ef_per_ev_fu": 4.41
}

=====

{
  "formula": "SrNi4",
  "functional": "PBE",
  "state": "optimized geometry",
  "lattice": [[-2.9732, 2.9732, 2.1919], [2.9732, -2.9732, 2.1919], [2.9732, 2.9732, -2.1919]],
  "species": ["Sr", "Ni", "Ni", "Ni", "Ni"],
  "fractional_positions": [[0.0000, 0.0000, 0.0000], [0.1909, 0.5000, 0.6909], [0.5000, 0.1909, 0.6909], [0.5000, 0.8091, 0.3091], [0.8091, 0.5000, 0.3091]],
  "de_polymorph_mev_per_atom": 185,
  "final_energy_ev_per_atom": -4.64,
  "mass_density_g_cm3": 6.907,
  "dos_ef_per_ev_fu": 5.79
}

=====

{
  "formula": "SrNi",
  "functional": "PBE",
  "state": "optimized geometry",
  "lattice": [[4.0943, 0.0000, 0.0000], [-2.0471, 3.5457, 0.0000], [0.0000, 0.0000, 3.8012]],
  "species": ["Sr", "Ni"],
  "fractional_positions": [[0.0000, 0.0000, 0.0000], [0.3333, 0.6667, 0.5000]],
  "final_energy_ev_per_atom": -3.34,
  "mass_density_g_cm3": 4.403,
  "dos_ef_per_ev_fu": 2.97
}

=====

{
  "formula": "SrNi",
  "functional": "PBE",
  "state": "optimized geometry",
  "lattice": [[5.5064, -2.0653, 0.0000], [5.5064, 2.0653, 0.0000], [-0.2992, 0.0000, 6.8946]],
  "species": ["Sr", "Sr", "Sr", "Ni", "Ni", "Ni"],
  "fractional_positions": [[0.0000, 0.0000, 0.0000], [0.2793, 0.2793, 0.2918], [0.7207, 0.7207, 0.7082], [0.0000, 0.0000, 0.5000], [0.4443, 0.4443, 0.6457], [0.5557, 0.5557, 0.3543]],
  "final_energy_ev_per_atom": -3.71,
  "mass_density_g_cm3": 4.648,
  "dos_ef_per_ev_fu": 1.62
}

=====

{
  "formula": "SrNi3",
  "functional": "PBE",
  "state": "optimized geometry",
  "lattice": [[-1.4848, 2.3647, 4.6195], [1.4848, -2.3647, 4.6195], [1.4848, 2.3647, -4.6195]],
  "species": ["Sr", "Ni", "Ni", "Ni"],
  "fractional_positions": [[0.0000, 0.0000, 0.0000], [0.2863, 0.7863, 0.5000], [0.5000, 0.5000, 0.0000], [0.7137, 0.2137, 0.5000]],
  "final_energy_ev_per_atom": -4.31,
  "mass_density_g_cm3": 6.749,
  "dos_ef_per_ev_fu": 7.14
}

=====

Formation energy from the elements (kcal/mol of atoms)
6.1 0.6 4.0 1.0 7.5 37.3 -0.1 -1.0 7.5 9.0 0.5 10.3